1.
VASP calculation (GGA-PBE) on crystalline CaCo2Os at its relaxed geometry.

It has space group Imm2 (No. 44), with a = 2.700 Å, b = 4.574 Å, c = 9.638 Å, α = 90.00°, β = 90.00° and γ = 90.00°. The asymmetric unit holds Ca at (0.000, 0.000, 0.000), Co at (0.000, 0.000, 0.509), Co at (0.000, 0.500, 0.221) and Os at (0.000, 0.500, 0.786).

The density of states at the Fermi level comes out at 1.115 states/eV per atom. As for the formation energy: 0.449 eV per atom. For the excess energy over the best structure of this formula in the dataset, the calculation gives 93 meV per atom.


2.
VASP calculation (GGA-PBE) on crystalline Co2NiOs at its relaxed geometry.

It has space group P4/mmm (No. 123), with a = 2.600 Å, b = 2.600 Å, c = 6.953 Å, α = 90.00°, β = 90.00° and γ = 90.00°. The asymmetric unit holds Co at (0.000, 0.000, 0.243), Ni at (0.500, 0.500, 0.000) and Os at (0.500, 0.500, 0.500).

The density of states at the Fermi level comes out at 1.450 states/eV per atom. As for the formation energy: 0.139 eV per atom. For the excess energy over the best structure of this formula in the dataset, the calculation gives 27 meV per atom.